A plane-wave DFT calculation with PBE was carried out for an optimized crystal structure of Pr2Y6Tm3Mg. Values from VASP.

DOS(E_F)	1.588	states/eV per atom
ΔE_f	0.02	eV per atom
calculated density	5.89	g/cm3
size of the total moment	0.00	μB per formula unit
E	-5.25	eV per atom

Cell and atoms, written as Quantum ESPRESSO input:
```
&SYSTEM
  ibrav = 0, nat = 12, ntyp = 4
/
ATOMIC_SPECIES
Pr 140.91 Pr.upf
Y 88.91 Y.upf
Tm 168.93 Tm.upf
Mg 24.30 Mg.upf
CELL_PARAMETERS angstrom
6.1497 -0.0026 -0.0011
-3.0756 5.3254 -0.0011
-1.0291 -1.7819 11.5962
ATOMIC_POSITIONS crystal
Pr 0.3335 0.6665 0.0000
Pr 0.6665 0.3335 0.0000
Y 0.9160 0.5852 0.7467
Y 0.7529 0.7529 0.2539
Y 0.0840 0.4148 0.2533
Y 0.5852 0.9160 0.7467
Y 0.2471 0.2471 0.7461
Y 0.4148 0.0840 0.2533
Tm 0.1653 0.8347 0.5000
Tm 0.8347 0.1653 0.5000
Tm 0.5000 0.5000 0.5000
Mg 0.0000 0.0000 0.0000
```

A plane-wave DFT calculation with PBE was carried out for an optimized crystal structure of PrYTmMg. Values from VASP.

DOS(E_F)	1.205	states/eV per atom
energy above the lowest structure with this stoichiometry	0.046	eV/atom
ΔE_f	0.02	eV per atom
calculated density	5.78	g/cm3
size of the total moment	0.00	μB per formula unit
E	-4.31	eV per atom

Cell and atoms, written as Quantum ESPRESSO input:
```
&SYSTEM
  ibrav = 0, nat = 4, ntyp = 4
/
ATOMIC_SPECIES
Pr 140.91 Pr.upf
Y 88.91 Y.upf
Mg 24.30 Mg.upf
Tm 168.93 Tm.upf
CELL_PARAMETERS angstrom
-4.6691 -0.9415 -2.8663
0.2291 -2.5914 -4.9127
-1.9553 -5.1793 -0.5043
ATOMIC_POSITIONS crystal
Pr 0.2500 0.2500 0.2500
Y 0.7500 0.7500 0.7500
Mg 0.5000 0.5000 0.5000
Tm 0.0000 0.0000 0.0000
```

A plane-wave DFT calculation with PBE was carried out for an optimized crystal structure of Pr2YTm2Mg5. Values from VASP.

DOS(E_F)	0.691	states/eV per atom
ΔE_f	0.02	eV per atom
calculated density	4.81	g/cm3
size of the total moment	0.00	μB per formula unit
E	-3.28	eV per atom

Cell and atoms, written as Quantum ESPRESSO input:
```
&SYSTEM
  ibrav = 0, nat = 20, ntyp = 4
/
ATOMIC_SPECIES
Pr 140.91 Pr.upf
Y 88.91 Y.upf
Tm 168.93 Tm.upf
Mg 24.30 Mg.upf
CELL_PARAMETERS angstrom
5.0672 0.0000 0.0000
0.0000 10.6322 0.0000
0.0000 0.0000 10.6322
ATOMIC_POSITIONS crystal
Pr 0.0000 0.6767 0.1767
Pr 0.0000 0.3233 0.8233
Pr 0.0000 0.1767 0.3233
Pr 0.0000 0.8233 0.6767
Y 0.0000 0.0000 0.0000
Y 0.0000 0.5000 0.5000
Tm 0.0000 0.1194 0.6194
Tm 0.0000 0.8806 0.3806
Tm 0.0000 0.6194 0.8806
Tm 0.0000 0.3806 0.1194
Mg 0.5000 0.1990 0.0701
Mg 0.5000 0.8010 0.9299
Mg 0.5000 0.0701 0.8010
Mg 0.5000 0.6990 0.4299
Mg 0.5000 0.9299 0.1990
Mg 0.5000 0.3010 0.5701
Mg 0.5000 0.5701 0.6990
Mg 0.5000 0.4299 0.3010
Mg 0.5000 0.5000 0.0000
Mg 0.5000 0.0000 0.5000
```